Arrangement 1

First-principles (GGA+U) data for a relaxed structure of CoAgNF2, as listed in Alexandria.

Lattice parameters (Å, degrees): 4.1697 4.1697 3.4819 90.00 90.00 90.00
Positions (direct):
Co: 0.0000 0.0000 0.0000
Ag: 0.5000 0.5000 0.5000
N: 0.0000 0.0000 0.5000
F: 0.0000 0.5000 0.0000
F: 0.5000 0.0000 0.0000

Computed properties:
**Symmetry**: No. 123
**Total magnetic moment**: 1.419 μB/f.u.



Arrangement 2

First-principles (GGA+U) data for a relaxed structure of CoAgNF2, as listed in Alexandria.

Lattice parameters (Å, degrees): 4.3167 4.3167 3.9920 90.00 90.00 90.00
Positions (direct):
Co: 0.0000 0.0000 0.0000
Ag: 0.5000 0.5000 0.5000
N: 0.5000 0.5000 0.0000
F: 0.0000 0.5000 0.5000
F: 0.5000 0.0000 0.5000

Computed properties:
**Symmetry**: No. 123
**Total magnetic moment**: 2.264 μB/f.u.



Of the structures shown above, arrangement 2 is the least stable.